Below is a relaxed SiPt2Au crystal, with properties calculated at the PBE level.

a b c (Å): 6.0266 6.0266 6.0266
angles (deg): 152.05 140.20 49.33
Fractional positions:
Au: 0.3097 0.8097 0.5000
Pt: 0.9912 0.9912 0.0000
Pt: 0.6860 0.1860 0.5000
Si: 0.5132 0.5132 0.0000

Summary:
Formation energy from raw total energies ... -0.27 eV per atom
V ... 65 Å³/cell
Total energy ... -0.40167 Ry/atom